(1)
## Tb2NpInO8 (PBE-GGA)

Data for a relaxed structure of Tb2NpInO8. Values from VASP.

```
&SYSTEM
  ibrav = 0, nat = 12, ntyp = 4
/
ATOMIC_SPECIES
Tb 158.93 Tb.upf
Np 237.00 Np.upf
In 114.82 In.upf
O 16.00 O.upf
ATOMIC_POSITIONS crystal
Tb 0.000 0.000 0.242
Tb 0.000 0.000 0.758
Np 0.500 0.500 0.500
In 0.500 0.500 0.000
O 0.206 0.206 0.000
O 0.211 0.211 0.500
O 0.316 0.684 0.280
O 0.316 0.684 0.720
O 0.684 0.316 0.280
O 0.684 0.316 0.720
O 0.789 0.789 0.500
O 0.794 0.794 0.000
CELL_PARAMETERS angstrom
3.476 -3.650 0.000
3.476 3.650 0.000
0.000 0.000 7.021
```

## Properties
Space group: Cmmm (65)
Crystal system: orthorhombic
Calculated volume, Å³ per atom: 14.847
DFT total energy, hartree per atom: -0.29836



(2)
## Os3Rh (PBE-GGA)

Data for a relaxed structure of Os3Rh. Values from VASP.

```
&SYSTEM
  ibrav = 0, nat = 8, ntyp = 2
/
ATOMIC_SPECIES
Os 190.23 Os.upf
Rh 102.91 Rh.upf
ATOMIC_POSITIONS crystal
Os 0.250 0.001 0.167
Os 0.250 0.250 0.668
Os 0.250 0.499 0.167
Os 0.750 0.501 0.833
Os 0.750 0.750 0.332
Os 0.750 0.999 0.833
Rh 0.250 0.750 0.662
Rh 0.750 0.250 0.338
CELL_PARAMETERS angstrom
4.351 0.000 0.000
0.000 5.491 0.000
0.000 0.000 4.766
```

## Properties
Energy of formation, eV/atom: 0.03
Space group: Pmmn (59)
Crystal system: orthorhombic
Calculated volume, Å³ per atom: 14.232
DFT total energy, hartree per atom: -0.37590
DOS at the Fermi energy, states/eV/atom: 0.714



(3)
## Y5ErCu4 (PBE-GGA)

Data for a relaxed structure of Y5ErCu4. Values from VASP.

```
&SYSTEM
  ibrav = 0, nat = 10, ntyp = 3
/
ATOMIC_SPECIES
Y 88.91 Y.upf
Er 167.26 Er.upf
Cu 63.55 Cu.upf
ATOMIC_POSITIONS crystal
Y 0.000 0.000 0.000
Y 0.000 0.000 0.184
Y 0.000 0.000 0.366
Y 0.000 0.000 0.634
Y 0.000 0.000 0.816
Er 0.500 0.500 0.500
Cu 0.500 0.500 0.092
Cu 0.500 0.500 0.275
Cu 0.500 0.500 0.725
Cu 0.500 0.500 0.908
CELL_PARAMETERS angstrom
3.487 0.000 0.000
0.000 3.487 0.000
0.000 0.000 19.052
```

## Properties
Energy of formation, eV/atom: -0.18
Space group: P4/mmm (123)
Crystal system: tetragonal
Calculated volume, Å³ per atom: 23.168
DFT total energy, hartree per atom: -0.20244
DOS at the Fermi energy, states/eV/atom: 0.829



(4)
## Al2CdSi (PBE-GGA)

Data for a relaxed structure of Al2CdSi. Values from VASP.

```
&SYSTEM
  ibrav = 0, nat = 8, ntyp = 3
/
ATOMIC_SPECIES
Al 26.98 Al.upf
Cd 112.41 Cd.upf
Si 28.09 Si.upf
ATOMIC_POSITIONS crystal
Al 0.000 0.000 0.222
Al 0.000 0.000 0.778
Al 0.500 0.500 0.278
Al 0.500 0.500 0.722
Cd 0.000 0.500 0.000
Cd 0.500 0.000 0.500
Si 0.000 0.500 0.500
Si 0.500 0.000 0.000
CELL_PARAMETERS angstrom
2.784 0.000 0.000
0.000 5.124 0.000
0.000 0.000 10.431
```

## Properties
Excess energy over the best structure of this formula in the dataset, eV per atom: 0.061
Space group: Immm (71)
Crystal system: orthorhombic
Calculated volume, Å³ per atom: 18.597
DFT total energy, hartree per atom: -0.11830
DOS at the Fermi energy, states/eV/atom: 0.278



(5)
## Y2CuPt2 (PBE-GGA)

Data for a relaxed structure of Y2CuPt2. Values from VASP.

```
&SYSTEM
  ibrav = 0, nat = 10, ntyp = 3
/
ATOMIC_SPECIES
Y 88.91 Y.upf
Cu 63.55 Cu.upf
Pt 195.08 Pt.upf
ATOMIC_POSITIONS crystal
Y 0.143 0.190 0.333
Y 0.357 0.690 0.048
Y 0.643 0.310 0.952
Y 0.857 0.810 0.667
Cu 0.250 0.750 0.500
Cu 0.750 0.250 0.500
Pt 0.120 0.746 0.866
Pt 0.380 0.246 0.626
Pt 0.620 0.754 0.374
Pt 0.880 0.254 0.134
CELL_PARAMETERS angstrom
-3.202 5.924 2.898
3.202 -5.924 2.898
3.202 5.924 -2.898
```

## Properties
Energy of formation, eV/atom: -0.88
Space group: Ibam (72)
Crystal system: orthorhombic
Calculated volume, Å³ per atom: 21.991
DFT total energy, hartree per atom: -0.24629
DOS at the Fermi energy, states/eV/atom: 0.482



(6)
## SbOsCl (PBE-GGA)

Data for a relaxed structure of SbOsCl. Values from VASP.

```
&SYSTEM
  ibrav = 0, nat = 3, ntyp = 3
/
ATOMIC_SPECIES
Sb 121.76 Sb.upf
Os 190.23 Os.upf
Cl 35.45 Cl.upf
ATOMIC_POSITIONS crystal
Sb 0.000 0.000 0.000
Os 0.333 0.667 0.762
Cl 0.667 0.333 0.569
CELL_PARAMETERS angstrom
4.490 0.000 0.000
-2.245 3.888 0.000
0.000 0.000 3.298
```

## Properties
Excess energy over the best structure of this formula in the dataset, eV per atom: 0.263
Space group: P3m1 (156)
Crystal system: trigonal
Calculated volume, Å³ per atom: 19.189
DFT total energy, hartree per atom: -0.18570
DOS at the Fermi energy, states/eV/atom: 0.557



Q: The lowest calculated volume belongs to which entry?
A: Os3Rh



Q: The highest calculated volume belongs to which entry?
A: Y5ErCu4